# 1
Below is RbAc2Al after structural relaxation, with properties calculated at the GGA-PBE level.

Calculated values
Energy relative to the elements = 0.058 eV/atom

abc: 4.014 4.014 11.303
angles: 90.00 90.00 90.00
Fractional coordinates of all 4 atoms:
1 Rb 0.000 0.000 0.000
2 Ac 0.500 0.500 0.338
3 Ac 0.500 0.500 0.662
4 Al 0.000 0.000 0.500



# 2
Below is MnCr3Ga after structural relaxation, with properties calculated at the GGA-PBE level.

Calculated values
Energy relative to the elements = 0.983 eV/atom
Offset from the most stable computed form = 745 meV per atom

abc: 4.241 4.241 4.241
angles: 90.00 90.00 90.00
Fractional coordinates of all 5 atoms:
1 Mn 0.000 0.000 0.000
2 Cr 0.000 0.000 0.500
3 Cr 0.000 0.500 0.000
4 Cr 0.500 0.000 0.000
5 Ga 0.500 0.500 0.500



# 3
Below is Zn2SiAu after structural relaxation, with properties calculated at the GGA-PBE level.

Calculated values
Formation energy (no corrections) = 0.087 eV per atom

abc: 3.567 3.567 5.147
angles: 90.00 90.00 90.00
Fractional coordinates of all 4 atoms:
1 Zn 0.000 0.000 0.000
2 Zn 0.500 0.500 0.241
3 Si 0.500 0.500 0.743
4 Au 0.000 0.000 0.501



# 4
Below is NbZn2HPt after structural relaxation, with properties calculated at the GGA-PBE level.

Calculated values
Calculated total energy = -4.560 eV per atom

abc: 4.083 4.083 3.891
angles: 90.00 90.00 90.00
Fractional coordinates of all 5 atoms:
1 Nb 0.000 0.000 0.000
2 Zn 0.000 0.500 0.500
3 Zn 0.500 0.000 0.500
4 H 0.000 0.000 0.500
5 Pt 0.500 0.500 0.000



# 5
Below is Zn2Ni2Sb after structural relaxation, with properties calculated at the GGA-PBE level.

Calculated values
Formation energy (no corrections) = 0.172 eV per atom
Offset from the most stable computed form = 238 meV per atom

abc: 6.173 6.173 6.173
angles: 144.15 144.15 51.60
Fractional coordinates of all 5 atoms:
1 Zn 0.115 0.115 0.000
2 Zn 0.885 0.885 0.000
3 Ni 0.250 0.750 0.500
4 Ni 0.750 0.250 0.500
5 Sb 0.500 0.500 0.000



# 6
Below is PrSm2Ni6 after structural relaxation, with properties calculated at the GGA-PBE level.

Calculated values
Energy relative to the elements = -0.327 eV/atom

abc: 6.953 6.953 3.957
angles: 90.00 90.00 120.00
Fractional coordinates of all 9 atoms:
1 Pr 0.000 0.000 0.000
2 Sm 0.333 0.667 0.000
3 Sm 0.667 0.333 0.000
4 Ni 0.000 0.335 0.500
5 Ni 0.000 0.665 0.500
6 Ni 0.335 0.000 0.500
7 Ni 0.335 0.335 0.500
8 Ni 0.665 0.000 0.500
9 Ni 0.665 0.665 0.500



These records have total magnetization values of 0.0; 3.4; 0.0; 0.0; 0.0; 0.7 μB per formula unit, in the order they appear.